Entry 1:
{
  "formula": "Re2MoOs",
  "functional": "PBE-GGA",
  "state": "optimized geometry",
  "lattice": [[-0.4520, 0.3589, 4.7681], [0.1077, -2.2981, 4.2160], [4.6026, 0.7242, 1.1807]],
  "species": ["Mo", "Os", "Re", "Re"],
  "fractional_positions": [[0.5030, 0.5030, 0.4956], [0.2539, 0.2539, 0.2401], [0.9977, 0.9977, 0.0061], [0.7455, 0.7455, 0.7582]],
  "energy_ev_per_cell": -46.6,
  "volume_a3_per_atom": 15.1
}

Entry 2:
{
  "formula": "ReMoOs2",
  "functional": "PBE-GGA",
  "state": "optimized geometry",
  "lattice": [[3.9044, 0.0000, 0.0000], [0.0000, 3.9044, 0.0000], [0.0000, 0.0000, 3.9007]],
  "species": ["Mo", "Os", "Os", "Re"],
  "fractional_positions": [[0.0000, 0.5000, 0.5000], [0.0000, 0.0000, 0.0000], [0.5000, 0.5000, 0.0000], [0.5000, 0.0000, 0.5000]],
  "energy_ev_per_cell": -45.6,
  "volume_a3_per_atom": 14.9
}

Entry 3:
{
  "formula": "ReMoOs3",
  "functional": "PBE-GGA",
  "state": "optimized geometry",
  "lattice": [[-2.0855, 2.0481, -6.0728], [0.1592, -5.1993, -1.8082], [-8.2798, -0.3183, 0.1862]],
  "species": ["Re", "Re", "Re", "Re", "Mo", "Mo", "Mo", "Mo", "Os", "Os", "Os", "Os", "Os", "Os", "Os", "Os", "Os", "Os", "Os", "Os"],
  "fractional_positions": [[0.5439, 0.1304, 0.8519], [0.4561, 0.8696, 0.1481], [0.9561, 0.6304, 0.6481], [0.0439, 0.3696, 0.3519], [0.6530, 0.8710, 0.5475], [0.3470, 0.1290, 0.4525], [0.8470, 0.3710, 0.9525], [0.1530, 0.6290, 0.0475], [0.2455, 0.8747, 0.7518], [0.7545, 0.1253, 0.2482], [0.2545, 0.3747, 0.7482], [0.7455, 0.6253, 0.2518], [0.6522, 0.3784, 0.5505], [0.3478, 0.6216, 0.4495], [0.8478, 0.8784, 0.9495], [0.1522, 0.1216, 0.0505], [0.0509, 0.8778, 0.3489], [0.9491, 0.1222, 0.6511], [0.4491, 0.3778, 0.1511], [0.5509, 0.6222, 0.8489]],
  "energy_ev_per_cell": -226.5,
  "volume_a3_per_atom": 14.8
}

no.,ρ (g/cm3)
1,18.1
2,18.5
3,19.2